[1]
# SCAN LiScOs2, PBEsol geometry
data_LiScOs2
_chemical_formula_sum 'Li2 Sc2 Os4'
_cell_length_a 2.933
_cell_length_b 4.445
_cell_length_c 9.113
_cell_angle_alpha 90.00
_cell_angle_beta 90.00
_cell_angle_gamma 90.00
_space_group_name_H-M_alt 'I m m 2'
_space_group_IT_number 44
_space_group_name_Hall 'I 2 -2'
loop_
_atom_site_label
_atom_site_fract_x
_atom_site_fract_y
_atom_site_fract_z
Li1 0.000 0.000 0.000
Sc1 0.000 0.500 0.229
Os1 0.000 0.000 0.470
Os2 0.000 0.500 0.742
# excess energy over the best structure of this formula in the dataset: 29 meV per atom
# ρ: 12.1 g/cm³



[2]
# SCAN SmBiRh, PBEsol geometry
data_SmBiRh
_chemical_formula_sum 'Sm4 Bi4 Rh4'
_cell_length_a 7.261
_cell_length_b 4.685
_cell_length_c 7.940
_cell_angle_alpha 90.00
_cell_angle_beta 90.00
_cell_angle_gamma 90.00
_space_group_name_H-M_alt 'P n m a'
_space_group_IT_number 62
_space_group_name_Hall '-P 2ac 2n'
loop_
_atom_site_label
_atom_site_fract_x
_atom_site_fract_y
_atom_site_fract_z
Sm1 0.012 0.250 0.197
Bi1 0.185 0.250 0.590
Rh1 0.208 0.750 0.420
# ρ: 11.4 g/cm³



[3]
# SCAN MnAl2Zn, PBEsol geometry
data_MnAl2Zn
_chemical_formula_sum 'Mn2 Al4 Zn2'
_cell_length_a 3.708
_cell_length_b 3.708
_cell_length_c 7.683
_cell_angle_alpha 90.00
_cell_angle_beta 90.00
_cell_angle_gamma 90.00
_space_group_name_H-M_alt 'I 4/m m m'
_space_group_IT_number 139
_space_group_name_Hall '-I 4 2'
loop_
_atom_site_label
_atom_site_fract_x
_atom_site_fract_y
_atom_site_fract_z
Mn1 0.000 0.000 0.000
Al1 0.000 0.500 0.250
Zn1 0.000 0.000 0.500
# ρ: 5.5 g/cm³



[4]
# SCAN Mg2CoSe, PBEsol geometry
data_Mg2CoSe
_chemical_formula_sum 'Mg6 Co3 Se3'
_cell_length_a 3.6021
_cell_length_b 3.6021
_cell_length_c 20.1679
_cell_angle_alpha 90.00
_cell_angle_beta 90.00
_cell_angle_gamma 120.00
_space_group_name_H-M_alt 'R -3 m'
_space_group_IT_number 166
_space_group_name_Hall '-R 3 2"'
loop_
_atom_site_label
_atom_site_fract_x
_atom_site_fract_y
_atom_site_fract_z
Mg1 0.0000 0.0000 0.2486
Co1 0.0000 0.0000 0.0000
Se1 0.0000 0.0000 0.5000
# excess energy over the best structure of this formula in the dataset: 18 meV per atom
# uncorrected formation energy: -0.148 eV/atom
# ρ: 4.1 g/cm³



[5]
# SCAN La2ReMo, PBEsol geometry
data_La2ReMo
_chemical_formula_sum 'La4 Re2 Mo2'
_cell_length_a 3.318
_cell_length_b 5.138
_cell_length_c 9.549
_cell_angle_alpha 90.00
_cell_angle_beta 90.00
_cell_angle_gamma 90.00
_space_group_name_H-M_alt 'C m m m'
_space_group_IT_number 65
_space_group_name_Hall '-C 2 2'
loop_
_atom_site_label
_atom_site_fract_x
_atom_site_fract_y
_atom_site_fract_z
La1 0.000 0.000 0.246
Re1 0.000 0.500 0.000
Mo1 0.000 0.500 0.500
# excess energy over the best structure of this formula in the dataset: 27 meV per atom
# ρ: 11.4 g/cm³



[6]
# SCAN MnAg2Mo, PBEsol geometry
data_MnAg2Mo
_chemical_formula_sum 'Mn2 Ag4 Mo2'
_cell_length_a 3.195
_cell_length_b 4.344
_cell_length_c 8.726
_cell_angle_alpha 90.00
_cell_angle_beta 90.00
_cell_angle_gamma 90.00
_space_group_name_H-M_alt 'C m m 2'
_space_group_IT_number 35
_space_group_name_Hall 'C 2 -2'
loop_
_atom_site_label
_atom_site_fract_x
_atom_site_fract_y
_atom_site_fract_z
Mn1 0.000 0.000 0.000
Ag1 0.000 0.000 0.515
Ag2 0.000 0.500 0.248
Mo1 0.000 0.500 0.786
# excess energy over the best structure of this formula in the dataset: 0 meV per atom
# ρ: 10.1 g/cm³



[7]
# SCAN Nb3S4, PBEsol geometry
data_Nb3S4
_chemical_formula_sum 'Nb6 S8'
_cell_length_a 9.5682
_cell_length_b 9.5682
_cell_length_c 3.3492
_cell_angle_alpha 90.00
_cell_angle_beta 90.00
_cell_angle_gamma 120.00
_space_group_name_H-M_alt 'P 63/m'
_space_group_IT_number 176
_space_group_name_Hall '-P 6c'
loop_
_atom_site_label
_atom_site_fract_x
_atom_site_fract_y
_atom_site_fract_z
Nb1 0.1155 0.4862 0.2500
S1 0.0583 0.7126 0.2500
S2 0.3333 0.6667 0.7500
# excess energy over the best structure of this formula in the dataset: 0 meV per atom
# uncorrected formation energy: -1.232 eV/atom
# ρ: 5.1 g/cm³



[8]
# SCAN Sc2AgAu, PBEsol geometry
data_Sc2AgAu
_chemical_formula_sum 'Sc8 Ag4 Au4'
_cell_length_a 6.720
_cell_length_b 6.720
_cell_length_c 6.720
_cell_angle_alpha 90.00
_cell_angle_beta 90.00
_cell_angle_gamma 90.00
_space_group_name_H-M_alt 'F m -3 m'
_space_group_IT_number 225
_space_group_name_Hall '-F 4 2 3'
loop_
_atom_site_label
_atom_site_fract_x
_atom_site_fract_y
_atom_site_fract_z
Sc1 0.250 0.250 0.250
Ag1 0.000 0.000 0.000
Au1 0.000 0.000 0.500
# excess energy over the best structure of this formula in the dataset: 0 meV per atom
# ρ: 8.6 g/cm³



[9]
# SCAN Rb2EuCuCl6, PBEsol geometry
data_Rb2EuCuCl6
_chemical_formula_sum 'Rb8 Eu4 Cu4 Cl24'
_cell_length_a 10.250
_cell_length_b 10.250
_cell_length_c 10.250
_cell_angle_alpha 90.00
_cell_angle_beta 90.00
_cell_angle_gamma 90.00
_space_group_name_H-M_alt 'F m -3 m'
_space_group_IT_number 225
_space_group_name_Hall '-F 4 2 3'
loop_
_atom_site_label
_atom_site_fract_x
_atom_site_fract_y
_atom_site_fract_z
Rb1 0.250 0.250 0.250
Eu1 0.000 0.000 0.000
Cu1 0.000 0.000 0.500
Cl1 0.000 0.000 0.263
# uncorrected formation energy: -1.898 eV/atom
# ρ: 3.7 g/cm³



[10]
# SCAN Ni2OsW, PBEsol geometry
data_Ni2OsW
_chemical_formula_sum 'Ni2 Os1 W1'
_cell_length_a 2.616
_cell_length_b 3.732
_cell_length_c 5.163
_cell_angle_alpha 90.00
_cell_angle_beta 90.00
_cell_angle_gamma 90.00
_space_group_name_H-M_alt 'P m m m'
_space_group_IT_number 47
_space_group_name_Hall '-P 2 2'
loop_
_atom_site_label
_atom_site_fract_x
_atom_site_fract_y
_atom_site_fract_z
Ni1 0.000 0.000 0.246
Os1 0.500 0.500 0.000
W1 0.500 0.500 0.500
# excess energy over the best structure of this formula in the dataset: 153 meV per atom
# ρ: 16.2 g/cm³



[11]
# SCAN LiSb3, PBEsol geometry
data_LiSb3
_chemical_formula_sum 'Li1 Sb3'
_cell_length_a 3.109
_cell_length_b 4.102
_cell_length_c 7.816
_cell_angle_alpha 90.00
_cell_angle_beta 90.00
_cell_angle_gamma 90.00
_space_group_name_H-M_alt 'P m m m'
_space_group_IT_number 47
_space_group_name_Hall '-P 2 2'
loop_
_atom_site_label
_atom_site_fract_x
_atom_site_fract_y
_atom_site_fract_z
Li1 0.000 0.000 0.000
Sb1 0.500 0.000 0.500
Sb2 0.500 0.500 0.211
# excess energy over the best structure of this formula in the dataset: 0 meV per atom
# uncorrected formation energy: -0.164 eV/atom
# ρ: 6.2 g/cm³



[12]
# SCAN TeRu2Br, PBEsol geometry
data_TeRu2Br
_chemical_formula_sum 'Te1 Ru2 Br1'
_cell_length_a 2.875
_cell_length_b 3.599
_cell_length_c 7.946
_cell_angle_alpha 90.00
_cell_angle_beta 90.18
_cell_angle_gamma 90.00
_space_group_name_H-M_alt 'P 1 m 1'
_space_group_IT_number 6
_space_group_name_Hall 'P -2y'
loop_
_atom_site_label
_atom_site_fract_x
_atom_site_fract_y
_atom_site_fract_z
Te1 0.000 0.000 0.000
Ru1 0.495 0.000 0.616
Ru2 0.997 0.500 0.763
Br1 0.493 0.500 0.392
# excess energy over the best structure of this formula in the dataset: 0 meV per atom
# uncorrected formation energy: 0.264 eV/atom
# ρ: 8.3 g/cm³



[13]
# SCAN NaSn2Mo2, PBEsol geometry
data_NaSn2Mo2
_chemical_formula_sum 'Na2 Sn4 Mo4'
_cell_length_a 5.127
_cell_length_b 5.127
_cell_length_c 8.503
_cell_angle_alpha 90.00
_cell_angle_beta 90.00
_cell_angle_gamma 90.00
_space_group_name_H-M_alt 'I 4/m m m'
_space_group_IT_number 139
_space_group_name_Hall '-I 4 2'
loop_
_atom_site_label
_atom_site_fract_x
_atom_site_fract_y
_atom_site_fract_z
Na1 0.000 0.000 0.000
Sn1 0.000 0.500 0.250
Mo1 0.000 0.000 0.372
# ρ: 6.7 g/cm³



[14]
# SCAN As2PIr, PBEsol geometry
data_As2PIr
_chemical_formula_sum 'As4 P2 Ir2'
_cell_length_a 2.818
_cell_length_b 4.857
_cell_length_c 9.435
_cell_angle_alpha 90.00
_cell_angle_beta 90.00
_cell_angle_gamma 90.00
_space_group_name_H-M_alt 'C m m m'
_space_group_IT_number 65
_space_group_name_Hall '-C 2 2'
loop_
_atom_site_label
_atom_site_fract_x
_atom_site_fract_y
_atom_site_fract_z
As1 0.000 0.000 0.231
P1 0.000 0.500 0.500
Ir1 0.000 0.500 0.000
# ρ: 9.6 g/cm³



[15]
# SCAN Nd5Sn15Rh8, PBEsol geometry
data_Nd5Sn15Rh8
_chemical_formula_sum 'Nd5 Sn15 Rh8'
_cell_length_a 7.181
_cell_length_b 4.449
_cell_length_c 18.457
_cell_angle_alpha 90.00
_cell_angle_beta 90.07
_cell_angle_gamma 90.00
_space_group_name_H-M_alt 'P 1 m 1'
_space_group_IT_number 6
_space_group_name_Hall 'P -2y'
loop_
_atom_site_label
_atom_site_fract_x
_atom_site_fract_y
_atom_site_fract_z
Nd1 0.000 0.000 0.000
Nd2 0.001 0.500 0.717
Nd3 0.005 0.500 0.290
Nd4 0.496 0.500 0.216
Nd5 0.503 0.000 0.503
Sn1 0.133 0.500 0.891
Sn2 0.197 0.000 0.178
Sn3 0.223 0.500 0.553
Sn4 0.282 0.500 0.052
Sn5 0.298 0.000 0.677
Sn6 0.366 0.500 0.392
Sn7 0.478 0.500 0.792
Sn8 0.519 0.000 0.928
Sn9 0.647 0.000 0.329
Sn10 0.696 0.500 0.038
Sn11 0.719 0.000 0.666
Sn12 0.781 0.000 0.166
Sn13 0.800 0.500 0.546
Sn14 0.867 0.000 0.827
Sn15 0.987 0.000 0.427
Rh1 0.015 0.000 0.574
Rh2 0.252 0.000 0.825
Rh3 0.270 0.000 0.325
Rh4 0.484 0.000 0.075
Rh5 0.511 0.500 0.649
Rh6 0.737 0.500 0.405
Rh7 0.748 0.500 0.892
Rh8 0.980 0.500 0.134
# ρ: 9.4 g/cm³



[16]
# SCAN Ta4FeP, PBEsol geometry
data_Ta4FeP
_chemical_formula_sum 'Ta8 Fe2 P2'
_cell_length_a 6.055
_cell_length_b 6.055
_cell_length_c 5.017
_cell_angle_alpha 90.00
_cell_angle_beta 90.00
_cell_angle_gamma 90.00
_space_group_name_H-M_alt 'P 4/m c c'
_space_group_IT_number 124
_space_group_name_Hall '-P 4 2c'
loop_
_atom_site_label
_atom_site_fract_x
_atom_site_fract_y
_atom_site_fract_z
Ta1 0.157 0.330 0.000
Fe1 0.000 0.000 0.250
P1 0.500 0.500 0.250
# ρ: 14.6 g/cm³



[17]
# SCAN RePtAu2, PBEsol geometry
data_RePtAu2
_chemical_formula_sum 'Re3 Pt3 Au6'
_cell_length_a 2.8029
_cell_length_b 2.8029
_cell_length_c 27.5837
_cell_angle_alpha 90.00
_cell_angle_beta 90.00
_cell_angle_gamma 120.00
_space_group_name_H-M_alt 'R -3 m'
_space_group_IT_number 166
_space_group_name_Hall '-R 3 2"'
loop_
_atom_site_label
_atom_site_fract_x
_atom_site_fract_y
_atom_site_fract_z
Re1 0.0000 0.0000 0.0000
Pt1 0.0000 0.0000 0.5000
Au1 0.0000 0.0000 0.2513
# ρ: 20.6 g/cm³



[18]
# SCAN Tb3SiBr3, PBEsol geometry
data_Tb3SiBr3
_chemical_formula_sum 'Tb24 Si8 Br24'
_cell_length_a 11.419
_cell_length_b 11.419
_cell_length_c 11.419
_cell_angle_alpha 90.00
_cell_angle_beta 90.00
_cell_angle_gamma 90.00
_space_group_name_H-M_alt 'I 41 3 2'
_space_group_IT_number 214
_space_group_name_Hall 'I 4bd 2c 3'
loop_
_atom_site_label
_atom_site_fract_x
_atom_site_fract_y
_atom_site_fract_z
Tb1 0.115 0.365 0.125
Si1 0.125 0.125 0.125
Br1 0.118 0.132 0.625
# uncorrected formation energy: -1.542 eV/atom
# ρ: 6.6 g/cm³



[19]
# SCAN BeCu2Au, PBEsol geometry
data_BeCu2Au
_chemical_formula_sum 'Be1 Cu2 Au1'
_cell_length_a 2.838
_cell_length_b 2.838
_cell_length_c 5.909
_cell_angle_alpha 90.00
_cell_angle_beta 90.00
_cell_angle_gamma 90.00
_space_group_name_H-M_alt 'P 4 m m'
_space_group_IT_number 99
_space_group_name_Hall 'P 4 -2'
loop_
_atom_site_label
_atom_site_fract_x
_atom_site_fract_y
_atom_site_fract_z
Be1 0.000 0.000 0.000
Cu1 0.000 0.000 0.443
Cu2 0.500 0.500 0.203
Au1 0.500 0.500 0.749
# ρ: 11.6 g/cm³



[20]
# SCAN FeCoOs, PBEsol geometry
data_FeCoOs
_chemical_formula_sum 'Fe1 Co1 Os1'
_cell_length_a 2.6041
_cell_length_b 2.6041
_cell_length_c 6.1082
_cell_angle_alpha 90.00
_cell_angle_beta 90.00
_cell_angle_gamma 120.00
_space_group_name_H-M_alt 'P 3 m 1'
_space_group_IT_number 156
_space_group_name_Hall 'P 3 -2"'
loop_
_atom_site_label
_atom_site_fract_x
_atom_site_fract_y
_atom_site_fract_z
Fe1 0.0000 0.0000 0.0000
Co1 0.6667 0.3333 0.3154
Os1 0.3333 0.6667 0.6594
# excess energy over the best structure of this formula in the dataset: 0 meV per atom
# ρ: 14.1 g/cm³



Going through the records in order, we get raw total energy values of -40.089 -53.151 -12.040 -11.981 -47.228 -28.743 -20.933 -32.990 -17.724 -43.348 -28.707 -31.327 -28.794 -29.992 -37.435 -49.529 -69.632 -31.354 -26.116 -35.592 eV/atom.